No. 1
NaAc2HoSe4 | PBE-GGA | relaxed

Cell lengths 7.410, 4.311, 7.517 Å; angles 90.00, 109.40, 90.00 degrees
Space group P2/m (No. 10)
Inequivalent atoms, fractional coordinates:
1 Na 0.000 0.000 0.000 [1 per cell]
2 Ac 0.500 0.000 0.500 [1 per cell]
3 Ac 0.500 0.500 0.000 [1 per cell]
4 Ho 0.000 0.500 0.500 [1 per cell]
5 Se 0.224 0.000 0.737 [2 per cell]
6 Se 0.230 0.500 0.250 [2 per cell]


No. 2
NaAcHo2Se4 | PBE-GGA | relaxed

Cell lengths 7.226, 4.154, 7.456 Å; angles 90.00, 108.56, 90.00 degrees
Space group P2/m (No. 10)
Inequivalent atoms, fractional coordinates:
1 Na 0.000 0.000 0.000 [1 per cell]
2 Ac 0.500 0.500 0.000 [1 per cell]
3 Ho 0.000 0.500 0.500 [1 per cell]
4 Ho 0.500 0.000 0.500 [1 per cell]
5 Se 0.234 0.000 0.727 [2 per cell]
6 Se 0.252 0.500 0.271 [2 per cell]


No. 3
Na2Ac3HoSe6 | PBE-GGA | relaxed

Cell lengths 7.593, 13.127, 7.406 Å; angles 90.00, 109.81, 90.00 degrees
Space group C2/m (No. 12)
Inequivalent atoms, fractional coordinates:
1 Na 0.000 0.165 0.000 [4 per cell]
2 Ac 0.000 0.000 0.500 [2 per cell]
3 Ac 0.000 0.329 0.500 [4 per cell]
4 Ho 0.000 0.500 0.000 [2 per cell]
5 Se 0.238 0.339 0.230 [8 per cell]
6 Se 0.242 0.500 0.762 [4 per cell]


No. 4
NaAc2HoTe5 | PBE-GGA | relaxed

Cell lengths 4.617, 19.163, 14.056 Å; angles 90.00, 90.00, 90.00 degrees
Space group Cmc2_1 (No. 36)
Inequivalent atoms, fractional coordinates:
1 Na 0.000 0.035 0.000 [4 per cell]
2 Ac 0.000 0.366 0.834 [4 per cell]
3 Ac 0.000 0.397 0.218 [4 per cell]
4 Ho 0.000 0.299 0.543 [4 per cell]
5 Te 0.000 0.007 0.305 [4 per cell]
6 Te 0.000 0.137 0.532 [4 per cell]
7 Te 0.000 0.189 0.891 [4 per cell]
8 Te 0.000 0.222 0.193 [4 per cell]
9 Te 0.000 0.442 0.615 [4 per cell]


No. 5
NaAcHo2Te4 | PBE-GGA | relaxed

Cell lengths 6.370, 6.370, 12.619 Å; angles 90.00, 90.00, 90.00 degrees
Space group I4/mmm (No. 139)
Inequivalent atoms, fractional coordinates:
1 Na 0.000 0.000 0.000 [2 per cell]
2 Ac 0.000 0.000 0.500 [2 per cell]
3 Ho 0.000 0.500 0.250 [4 per cell]
4 Te 0.000 0.000 0.239 [4 per cell]
5 Te 0.000 0.500 0.000 [4 per cell]


No. 6
NaAc2HoTe4 | PBE-GGA | relaxed

Cell lengths 7.894, 4.580, 8.008 Å; angles 90.00, 109.33, 90.00 degrees
Space group P2/m (No. 10)
Inequivalent atoms, fractional coordinates:
1 Na 0.000 0.000 0.000 [1 per cell]
2 Ac 0.500 0.000 0.500 [1 per cell]
3 Ac 0.500 0.500 0.000 [1 per cell]
4 Ho 0.000 0.500 0.500 [1 per cell]
5 Te 0.225 0.000 0.739 [2 per cell]
6 Te 0.229 0.500 0.248 [2 per cell]


No. 7
Na3AcHo2Te6 | PBE-GGA | relaxed

Cell lengths 7.856, 13.619, 8.021 Å; angles 90.00, 109.25, 90.00 degrees
Space group C2/m (No. 12)
Inequivalent atoms, fractional coordinates:
1 Na 0.000 0.000 0.000 [2 per cell]
2 Na 0.000 0.338 0.000 [4 per cell]
3 Ac 0.000 0.500 0.500 [2 per cell]
4 Ho 0.000 0.168 0.500 [4 per cell]
5 Te 0.226 0.000 0.736 [4 per cell]
6 Te 0.244 0.176 0.264 [8 per cell]


No. 8
Na4AcHo3Te8 | PBE-GGA | relaxed

Cell lengths 9.0182, 9.0182, 22.7199 Å; angles 90.00, 90.00, 120.00 degrees
Space group R-3m (No. 166, hexagonal axes)
Inequivalent atoms, fractional coordinates:
1 Na 0.0000 0.0000 0.0000 [3 per cell]
2 Na 0.0000 0.5000 0.0000 [9 per cell]
3 Ac 0.0000 0.0000 0.5000 [3 per cell]
4 Ho 0.0000 0.5000 0.5000 [9 per cell]
5 Te 0.0000 0.0000 0.2427 [6 per cell]
6 Te 0.0170 0.5085 0.7543 [18 per cell]


Spin magnetization, respectively: 0.00, 0.00, 0.00, 0.00, 0.00, 0.00, 0.00, 0.00 μB per formula unit.
ΔE_f (raw), respectively: -1.74, -1.74, -1.73, -1.38, -1.28, -1.38, -1.33, -1.32 eV per atom.
Electronic total energy, respectively: -5.25, -5.30, -5.10, -4.69, -4.67, -4.71, -4.33, -4.33 eV/atom.